# 1
A plane-wave DFT calculation with GGA-PBE was carried out for a geometry-optimized Pm4Mg5Cu2 structure.

Lattice parameters (Å, degrees): 3.5557 8.0351 10.0497 93.20 90.00 90.00
Fractional positions:
Pm (0.5000, 0.8418, 0.1407)
Pm (0.5000, 0.1582, 0.8593)
Pm (0.5000, 0.2313, 0.4501)
Pm (0.5000, 0.7687, 0.5499)
Cu (0.0000, 0.9431, 0.3693)
Cu (0.0000, 0.0569, 0.6307)
Mg (0.0000, 0.8080, 0.8401)
Mg (0.0000, 0.4435, 0.6908)
Mg (0.0000, 0.1920, 0.1599)
Mg (0.0000, 0.5000, 0.0000)
Mg (0.0000, 0.5565, 0.3092)

Calculated values
**Energy of formation**: -0.087 eV/atom
**Mass density**: 4.80 g/cm3


# 2
A plane-wave DFT calculation with GGA-PBE was carried out for a geometry-optimized Ca2ZnAs structure.

Lattice parameters (Å, degrees): 5.2285 5.2285 5.2285 60.00 60.00 60.00
Fractional positions:
Ca (0.0000, 0.0000, 0.0000)
Ca (0.2500, 0.2500, 0.2500)
Zn (0.7500, 0.7500, 0.7500)
As (0.5000, 0.5000, 0.5000)

Calculated values
**Energy above the most stable polymorph in this dataset**: 590 meV per atom
**Energy of formation**: -0.163 eV/atom
**Mass density**: 3.62 g/cm3


# 3
A plane-wave DFT calculation with GGA-PBE was carried out for a geometry-optimized SrInOs2 structure.

Lattice parameters (Å, degrees): 3.0167 3.0167 8.8460 90.00 90.00 90.00
Fractional positions:
Os (0.5000, 0.5000, 0.1992)
Os (0.0000, 0.0000, 0.0317)
Sr (0.0000, 0.0000, 0.4749)
In (0.5000, 0.5000, 0.7942)

Calculated values
**Energy of formation**: 0.312 eV/atom
**Mass density**: 12.02 g/cm3


# 4
A plane-wave DFT calculation with GGA-PBE was carried out for a geometry-optimized TlCd5 structure.

Lattice parameters (Å, degrees): 5.9752 5.9752 5.9752 60.00 60.00 60.00
Fractional positions:
Cd (0.3753, 0.3753, 0.8741)
Cd (0.3753, 0.3753, 0.3753)
Cd (0.8741, 0.3753, 0.3753)
Cd (0.7500, 0.7500, 0.7500)
Cd (0.3753, 0.8741, 0.3753)
Tl (0.0000, 0.0000, 0.0000)

Calculated values
**Energy above the most stable polymorph in this dataset**: 37 meV per atom
**Energy of formation**: 0.056 eV/atom
**Mass density**: 8.44 g/cm3


# 5
A plane-wave DFT calculation with GGA-PBE was carried out for a geometry-optimized YAgTe2 structure.

Lattice parameters (Å, degrees): 8.9982 8.9982 8.9982 29.12 29.12 29.12
Fractional positions:
Ag (0.0000, 0.0000, 0.0000)
Y (0.5000, 0.5000, 0.5000)
Te (0.1024, 0.1024, 0.1024)
Te (0.8976, 0.8976, 0.8976)

Calculated values
**ΔE_f (raw)**: -3.35 eV per formula unit
**Mass density**: 4.92 g/cm3


# 6
A plane-wave DFT calculation with GGA-PBE was carried out for a geometry-optimized Cs3CdSe2O8 structure.

Lattice parameters (Å, degrees): 6.3709 6.3709 8.3513 90.00 90.00 120.00
Fractional positions:
Cs (0.6667, 0.3333, 0.3038)
Cs (0.3333, 0.6667, 0.6962)
Cs (0.0000, 0.0000, 0.0000)
O (0.1870, 0.3739, 0.3255)
O (0.3333, 0.6667, 0.0545)
O (0.1870, 0.8130, 0.3255)
O (0.3739, 0.1870, 0.6745)
O (0.6667, 0.3333, 0.9455)
O (0.8130, 0.6261, 0.6745)
O (0.8130, 0.1870, 0.6745)
O (0.6261, 0.8130, 0.3255)
Se (0.6667, 0.3333, 0.7450)
Se (0.3333, 0.6667, 0.2550)
Cd (0.0000, 0.0000, 0.5000)

Calculated values
**ΔE_f (raw)**: -16.35 eV per formula unit
**Mass density**: 4.51 g/cm3


Q: The highest mass density belongs to which entry?
A: SrInOs2


Q: Which of these has the highest mass density?
A: SrInOs2


Q: The lowest mass density belongs to which entry?
A: Ca2ZnAs